1.
Here is a relaxed structure of IrRuSe2 from the Alexandria database. Energies are from PBE-GGA.

a = 6.4431 Å, b = 6.4431 Å, c = 6.4431 Å
α = 153.67°, β = 139.47°, γ = 48.98°
Positions (direct):
Ir1 0.2500 0.7500 0.5000
Ru1 0.7500 0.2500 0.5000
Se1 0.9196 0.9196 0.0000
Se2 0.5804 0.5804 0.0000

Output
Fermi-level density of states   6.0 states/eV per cell
Density   9756 kg/m³
ΔE to the lowest computed polymorph   407 meV per atom
V   19.20 Å³ per atom



2.
Here is a relaxed structure of Ac2Pd9Pb from the Alexandria database. Energies are from PBE-GGA.

a = 5.5004 Å, b = 5.5004 Å, c = 9.7398 Å
α = 73.60°, β = 73.60°, γ = 60.00°
Positions (direct):
Ac1 0.8656 0.8656 0.4032
Ac2 0.1344 0.1344 0.5968
Pd1 0.6671 0.6671 0.9987
Pd2 0.3329 0.3329 0.0013
Pd3 0.5000 0.5000 0.5000
Pd4 0.4154 0.4154 0.2510
Pd5 0.9181 0.4154 0.2510
Pd6 0.4154 0.9181 0.2510
Pd7 0.5846 0.5846 0.7490
Pd8 0.5846 0.0819 0.7490
Pd9 0.0819 0.5846 0.7490
Pb1 0.0000 0.0000 0.0000

Output
Fermi-level density of states   6.4 states/eV per cell
Density   11144 kg/m³
ΔH_f (0 K)   -0.48 eV/atom
ΔE to the lowest computed polymorph   86 meV per atom
V   20.10 Å³ per atom



3.
Here is a relaxed structure of OsRuSeN2 from the Alexandria database. Energies are from PBE-GGA.

a = 3.7501 Å, b = 3.7501 Å, c = 5.6372 Å
α = 90.00°, β = 90.00°, γ = 90.00°
Positions (direct):
Ru1 0.5000 0.5000 0.5000
Os1 0.0000 0.0000 0.0000
Se1 0.0000 0.0000 0.5000
N1 0.0000 0.5000 0.0000
N2 0.5000 0.0000 0.0000

Output
Fermi-level density of states   6.1 states/eV per cell
Density   8342 kg/m³
ΔE to the lowest computed polymorph   0 meV per atom
V   15.86 Å³ per atom



4.
Here is a relaxed structure of BeCd4Sb from the Alexandria database. Energies are from PBE-GGA.

a = 5.7912 Å, b = 5.7912 Å, c = 5.7912 Å
α = 60.00°, β = 60.00°, γ = 60.00°
Positions (direct):
Be1 0.0000 0.0000 0.0000
Cd1 0.3747 0.8759 0.3747
Cd2 0.8759 0.3747 0.3747
Cd3 0.3747 0.3747 0.8759
Cd4 0.3747 0.3747 0.3747
Sb1 0.7500 0.7500 0.7500

Output
Fermi-level density of states   3.2 states/eV per cell
Uncorrected energy   -8.50 eV/cell
Density   7018 kg/m³
V   22.89 Å³ per atom



5.
Here is a relaxed structure of SrTc2Mo from the Alexandria database. Energies are from PBE-GGA.

a = 4.6500 Å, b = 4.6500 Å, c = 4.6500 Å
α = 60.00°, β = 60.00°, γ = 60.00°
Positions (direct):
Sr1 0.0000 0.0000 0.0000
Mo1 0.5000 0.5000 0.5000
Tc1 0.2500 0.2500 0.2500
Tc2 0.7500 0.7500 0.7500

Output
Fermi-level density of states   4.6 states/eV per cell
Density   8865 kg/m³
ΔH_f (0 K)   0.86 eV/atom
ΔE to the lowest computed polymorph   356 meV per atom
V   17.77 Å³ per atom



6.
Here is a relaxed structure of Pm4PRhBr2 from the Alexandria database. Energies are from PBE-GGA.

a = 4.0382 Å, b = 7.4728 Å, c = 7.7027 Å
α = 106.77°, β = 90.00°, γ = 90.00°
Positions (direct):
Pm1 0.5000 0.2338 0.2021
Pm2 0.5000 0.7662 0.7979
Pm3 0.0000 0.2768 0.8024
Pm4 0.0000 0.7232 0.1976
P1 0.0000 0.0000 0.0000
Rh1 0.5000 0.5000 0.0000
Br1 0.5000 0.0000 0.5000
Br2 0.0000 0.5000 0.5000

Output
Fermi-level density of states   5.8 states/eV per cell
Uncorrected energy   -44.88 eV/cell
Density   6519 kg/m³
V   27.82 Å³ per atom



7.
Here is a relaxed structure of Pm4PtPb2 from the Alexandria database. Energies are from PBE-GGA.

a = 5.3287 Å, b = 5.3287 Å, c = 9.2835 Å
α = 106.68°, β = 106.68°, γ = 90.00°
Positions (direct):
Pb1 0.6348 0.6348 0.2696
Pb2 0.3652 0.3652 0.7304
Pt1 0.0000 0.0000 0.0000
Pm1 0.8218 0.8218 0.6435
Pm2 0.1782 0.1782 0.3565
Pm3 0.0000 0.5000 0.0000
Pm4 0.5000 0.0000 0.0000

Output
Fermi-level density of states   5.9 states/eV per cell
Density   8199 kg/m³
ΔH_f (0 K)   -0.47 eV/atom
ΔE to the lowest computed polymorph   194 meV per atom
V   34.42 Å³ per atom



8.
Here is a relaxed structure of TaAlGa2 from the Alexandria database. Energies are from PBE-GGA.

a = 3.9633 Å, b = 4.0355 Å, c = 4.0355 Å
α = 90.00°, β = 90.00°, γ = 90.00°
Positions (direct):
Al1 0.5000 0.0000 0.0000
Ga1 0.0000 0.0000 0.5000
Ga2 0.0000 0.5000 0.0000
Ta1 0.5000 0.5000 0.5000

Output
Fermi-level density of states   2.4 states/eV per cell
Density   8937 kg/m³
ΔH_f (0 K)   -0.04 eV/atom
V   16.14 Å³ per atom



9.
Here is a relaxed structure of ZnSbAsI2 from the Alexandria database. Energies are from PBE-GGA.

a = 5.7420 Å, b = 5.7420 Å, c = 5.5723 Å
α = 90.00°, β = 90.00°, γ = 90.00°
Positions (direct):
I1 0.0000 0.5000 0.0000
I2 0.5000 0.0000 0.0000
Sb1 0.0000 0.0000 0.5000
As1 0.0000 0.0000 0.0000
Zn1 0.5000 0.5000 0.5000

Output
Fermi-level density of states   3.2 states/eV per cell
Density   4663 kg/m³
ΔE to the lowest computed polymorph   0 meV per atom
V   36.74 Å³ per atom



10.
Here is a relaxed structure of V2CoNi2 from the Alexandria database. Energies are from PBE-GGA.

a = 6.4433 Å, b = 6.4433 Å, c = 2.9097 Å
α = 90.00°, β = 90.00°, γ = 90.00°
Positions (direct):
Ni1 0.3712 0.8712 0.0000
Ni2 0.8712 0.6288 0.0000
Ni3 0.6288 0.1288 0.0000
Ni4 0.1288 0.3712 0.0000
Co1 0.0000 0.0000 0.0000
Co2 0.5000 0.5000 0.0000
V1 0.1755 0.6755 0.5000
V2 0.6755 0.8245 0.5000
V3 0.8245 0.3245 0.5000
V4 0.3245 0.1755 0.5000

Output
Fermi-level density of states   8.1 states/eV per cell
Density   7648 kg/m³
ΔH_f (0 K)   0.02 eV/atom
ΔE to the lowest computed polymorph   134 meV per atom
V   12.08 Å³ per atom



11.
Here is a relaxed structure of Pm4Dy5Mg from the Alexandria database. Energies are from PBE-GGA.

a = 5.7846 Å, b = 8.1019 Å, c = 8.1019 Å
α = 82.68°, β = 69.08°, γ = 69.08°
Positions (direct):
Pm1 0.4635 0.3178 0.6823
Pm2 0.7812 0.6823 0.6822
Pm3 0.1457 0.3177 0.3178
Pm4 0.4635 0.6822 0.3177
Dy1 0.7664 0.3703 0.0000
Dy2 0.1367 0.0000 0.6297
Dy3 0.7664 0.0000 0.3703
Dy4 0.1367 0.6297 0.0000
Dy5 0.6652 0.0000 0.0000
Mg1 0.1848 0.0000 0.0000

Output
Fermi-level density of states   12.0 states/eV per cell
Density   7101 kg/m³
ΔH_f (0 K)   0.18 eV/atom
ΔE to the lowest computed polymorph   182 meV per atom
V   33.13 Å³ per atom



12.
Here is a relaxed structure of Rb2CaSbS4 from the Alexandria database. Energies are from PBE-GGA.

a = 6.6974 Å, b = 8.0803 Å, c = 12.7734 Å
α = 83.76°, β = 74.80°, γ = 65.52°
Positions (direct):
Rb1 0.1857 0.0000 0.6287
Rb2 0.8143 0.0000 0.3713
Rb3 0.5643 0.5000 0.8713
Rb4 0.9357 0.5000 0.1287
Ca1 0.7500 0.5000 0.5000
Ca2 0.0000 0.0000 0.0000
Sb1 0.2500 0.5000 0.5000
Sb2 0.5000 0.0000 0.0000
S1 0.3236 0.7908 0.1015
S2 0.2160 0.2092 0.8985
S3 0.8855 0.7908 0.8985
S4 0.5749 0.2092 0.1015
S5 0.4264 0.7092 0.3985
S6 0.5340 0.2908 0.6015
S7 0.8645 0.7092 0.6015
S8 0.1751 0.2908 0.3985

Output
Fermi-level density of states   8.0 states/eV per cell
Uncorrected energy   -63.55 eV/cell
Density   2522 kg/m³
V   37.94 Å³ per atom



> Among the records above, which one has the highest V?

Rb2CaSbS4



> Which of these has the highest Fermi-level density of states?

Pm4Dy5Mg



Copy entry 6 word for word.
Here is a relaxed structure of Pm4PRhBr2 from the Alexandria database. Energies are from PBE-GGA.

a = 4.0382 Å, b = 7.4728 Å, c = 7.7027 Å
α = 106.77°, β = 90.00°, γ = 90.00°
Positions (direct):
Pm1 0.5000 0.2338 0.2021
Pm2 0.5000 0.7662 0.7979
Pm3 0.0000 0.2768 0.8024
Pm4 0.0000 0.7232 0.1976
P1 0.0000 0.0000 0.0000
Rh1 0.5000 0.5000 0.0000
Br1 0.5000 0.0000 0.5000
Br2 0.0000 0.5000 0.5000

Output
Fermi-level density of states   5.8 states/eV per cell
Uncorrected energy   -44.88 eV/cell
Density   6519 kg/m³
V   27.82 Å³ per atom



> Which formula does entry 6 have?

Pm4PRhBr2